[1]
ZrTlZn2 (meta-GGA SCAN, PBEsol geometry); volume = 72.1 Å³ per cell; space-group type = P4/mmm; raw total energy = -32.768 eV/atom
1.0
4.085 0.000 0.000
0.000 4.202 0.000
0.000 0.000 4.202
Tl Zn Zr
1 2 1
Direct
0.500 0.000 0.000
0.000 0.000 0.500
0.000 0.500 0.000
0.500 0.500 0.500



[2]
TcAs2 (meta-GGA SCAN, PBEsol geometry); volume = 104.0 Å³ per cell; space-group type = C2/m; raw total energy = -25.358 eV/atom
1.0
-1.486 1.561 2.198
-5.322 -2.739 -1.652
4.233 -3.516 3.202
As Tc
4 2
Direct
0.920 0.721 0.840
0.642 0.841 0.284
0.358 0.159 0.716
0.080 0.279 0.160
0.257 0.696 0.515
0.743 0.304 0.485



[3]
GaSiAu3 (meta-GGA SCAN, PBEsol geometry); volume = 106.0 Å³ per cell; space-group type = Pm-3m; raw total energy = -46.614 eV/atom; ΔE_f (raw) = 3.51 kcal/mol of atoms
1.0
-0.577 4.390 1.669
0.651 -1.591 4.409
4.652 0.768 -0.410
Si Au Ga
1 3 1
Direct
0.000 0.000 0.000
0.000 0.500 0.000
0.000 0.000 0.500
0.500 0.000 0.000
0.500 0.500 0.500



[4]
CsScNb2As (meta-GGA SCAN, PBEsol geometry); volume = 135.6 Å³ per cell; space-group type = P4/mmm; raw total energy = -25.218 eV/atom
1.0
-3.095 3.743 -1.175
-2.345 -0.566 4.376
3.417 3.545 2.290
Cs Sc Nb As
1 1 2 1
Direct
0.000 0.000 0.000
0.500 0.500 0.500
0.000 0.500 0.000
0.500 0.000 0.000
0.000 0.000 0.500



[5]
BaYOs (meta-GGA SCAN, PBEsol geometry); volume = 97.2 Å³ per cell; space-group type = P3m1; raw total energy = -46.004 eV/atom
1.0
4.259 0.000 0.000
-2.130 3.689 0.000
0.000 0.000 6.186
Ba Os Y
1 1 1
Direct
0.000 0.000 0.924
0.333 0.667 0.628
0.667 0.333 0.448



[6]
Ca2YTiFe (meta-GGA SCAN, PBEsol geometry); volume = 133.2 Å³ per cell; space-group type = P4/mmm; raw total energy = -15.564 eV/atom
1.0
4.115 0.000 0.000
0.000 5.689 0.000
0.000 0.000 5.689
Y Ca Fe Ti
1 2 1 1
Direct
0.500 0.500 0.500
0.000 0.000 0.500
0.000 0.500 0.000
0.500 0.000 0.000
0.000 0.000 0.000



[7]
TlNi2PdO (meta-GGA SCAN, PBEsol geometry); volume = 66.1 Å³ per cell; space-group type = P4/mmm; raw total energy = -28.847 eV/atom; ΔE_f (raw) = -2.41 kcal/mol of atoms
1.0
-0.611 3.367 1.729
-3.666 -0.090 -1.119
-1.105 -2.149 3.794
Ni Tl O Pd
2 1 1 1
Direct
0.000 0.500 0.000
0.500 0.000 0.000
0.500 0.500 0.500
0.000 0.000 0.000
0.000 0.000 0.500



[8]
KCaIn4 (meta-GGA SCAN, PBEsol geometry); volume = 164.4 Å³ per cell; space-group type = F-43m; raw total energy = -25.580 eV/atom
1.0
6.149 0.000 0.000
3.074 5.325 0.000
3.074 1.775 5.021
Ca K In
1 1 4
Direct
0.000 0.000 0.000
0.750 0.750 0.750
0.375 0.375 0.375
0.375 0.375 0.875
0.875 0.375 0.375
0.375 0.875 0.375



no.,total moment (μB/f.u.)
1,0.00
2,0.00
3,0.00
4,0.00
5,0.00
6,1.17
7,1.34
8,0.00